No. 1
The following is a DFT calculation (GGA-PBE) of a geometry-optimized K4Sm3ErTe8 structure.

Computed properties:
Formation energy without anion corrections = -1.40 eV per atom
Calculated density = 5.05 g cm⁻³
Size of the total moment = 0.00 μB/cell

abc: 9.779 9.779 9.779
angles: 55.42 55.42 55.42
Fractional positions:
1 K 0.000 0.000 0.000
2 K 0.000 0.500 0.500
3 K 0.500 0.000 0.500
4 K 0.500 0.500 0.000
5 Sm 0.000 0.000 0.500
6 Sm 0.000 0.500 0.000
7 Sm 0.500 0.000 0.000
8 Er 0.500 0.500 0.500
9 Te 0.238 0.238 0.238
10 Te 0.243 0.734 0.734
11 Te 0.266 0.266 0.757
12 Te 0.266 0.757 0.266
13 Te 0.734 0.243 0.734
14 Te 0.734 0.734 0.243
15 Te 0.757 0.266 0.266
16 Te 0.762 0.762 0.762

---

No. 2
The following is a DFT calculation (GGA-PBE) of a geometry-optimized K3Sm3ErTe8 structure.

Computed properties:
Formation energy without anion corrections = -1.32 eV per atom
D(E_F) = 7.4 states/eV/cell
Calculated density = 4.98 g cm⁻³
Size of the total moment = 0.00 μB/cell

abc: 9.951 9.951 9.951
angles: 53.20 53.20 53.20
Fractional positions:
1 K 0.000 0.500 0.500
2 K 0.500 0.000 0.500
3 K 0.500 0.500 0.000
4 Sm 0.000 0.000 0.500
5 Sm 0.000 0.500 0.000
6 Sm 0.500 0.000 0.000
7 Er 0.500 0.500 0.500
8 Te 0.238 0.238 0.238
9 Te 0.241 0.734 0.734
10 Te 0.266 0.266 0.759
11 Te 0.266 0.759 0.266
12 Te 0.734 0.241 0.734
13 Te 0.734 0.734 0.241
14 Te 0.759 0.266 0.266
15 Te 0.762 0.762 0.762

---

No. 3
The following is a DFT calculation (GGA-PBE) of a geometry-optimized KSm2Er3Te6 structure.

Computed properties:
Formation energy without anion corrections = -1.31 eV per atom
D(E_F) = 4.0 states/eV/cell
Calculated density = 7.16 g cm⁻³
Size of the total moment = 0.00 μB/cell

abc: 9.994 9.994 9.056
angles: 104.39 104.39 25.22
Fractional positions:
1 K 0.000 0.000 0.000
2 Sm 0.327 0.327 0.649
3 Sm 0.673 0.673 0.351
4 Er 0.000 0.000 0.500
5 Er 0.337 0.337 0.175
6 Er 0.663 0.663 0.825
7 Te 0.162 0.162 0.592
8 Te 0.175 0.175 0.082
9 Te 0.499 0.499 0.732
10 Te 0.501 0.501 0.268
11 Te 0.825 0.825 0.918
12 Te 0.838 0.838 0.408

---

Which value of calculated density does entry 3 give?
7.16 g cm⁻³

---

What is the size of the total moment in the first record?
0.00 μB/cell